<one>
SrYIN2: relaxed, PBE-GGA.

Values from the calculation:
Symmetry: No. 123
Crystal system: tetragonal
Total magnetic moment (μB per atom): 0.055

```
SrYIN2
1.0
-3.4659 -2.1989 1.9894
-1.7465 -0.9592 -4.1030
3.1289 -5.0654 -0.1477
N I Y Sr
2 1 1 1
Cartesian
-1.7330 -1.0995 0.9947 N
-0.8733 -0.4796 -2.0515 N
1.5645 -2.5327 -0.0739 I
0.0000 0.0000 0.0000 Y
-1.0418 -4.1118 -1.1307 Sr
```

=====

<two>
SrYIN2: relaxed, PBE-GGA.

Values from the calculation:
Symmetry: No. 123
Crystal system: tetragonal
Total magnetic moment (μB per atom): 0.317

```
SrYIN2
1.0
4.6496 0.0000 0.0000
0.0000 4.6496 0.0000
0.0000 0.0000 5.8858
N Sr Y I
2 1 1 1
Cartesian
2.3248 0.0000 0.0000 N
0.0000 2.3248 0.0000 N
0.0000 0.0000 0.0000 Sr
2.3248 2.3248 2.9429 Y
0.0000 0.0000 2.9429 I
```

=====

Verdict on stability: <two> comes out at the bottom.

=====

<one>
SrZnI2N: relaxed, PBE-GGA.

Values from the calculation:
Symmetry: No. 123
Crystal system: tetragonal
Total magnetic moment (μB per atom): 0.230

```
SrZnI2N
1.0
5.9809 0.0000 0.0000
0.0000 5.9809 0.0000
0.0000 0.0000 3.8743
Zn I N Sr
1 2 1 1
Cartesian
0.0000 0.0000 0.0000 Zn
2.9904 0.0000 0.0000 I
0.0000 2.9904 0.0000 I
0.0000 0.0000 1.9371 N
2.9904 2.9904 1.9371 Sr
```

=====

<two>
SrZnI2N: relaxed, PBE-GGA.

Values from the calculation:
Symmetry: No. 123
Crystal system: tetragonal
Total magnetic moment (μB per atom): 0.213

```
SrZnI2N
1.0
6.1539 0.0000 0.0000
0.0000 3.7443 0.0000
0.0000 0.0000 6.1539
Sr I Zn N
1 2 1 1
Cartesian
3.0769 1.8721 3.0769 Sr
3.0769 0.0000 0.0000 I
0.0000 0.0000 3.0769 I
0.0000 1.8721 0.0000 Zn
0.0000 0.0000 0.0000 N
```

=====

<three>
SrZnI2N: relaxed, PBE-GGA.

Values from the calculation:
Symmetry: No. 123
Crystal system: tetragonal
Total magnetic moment (μB per atom): 0.566

```
SrZnI2N
1.0
-1.1356 0.2804 -6.3747
-5.8647 -2.5970 0.9305
-1.9690 4.6455 0.5551
I N Zn Sr
2 1 1 1
Cartesian
-2.9324 -1.2985 0.4652 I
-0.5678 0.1402 -3.1874 I
-0.9845 2.3227 0.2775 N
-4.4847 1.1644 -2.4446 Zn
0.0000 0.0000 0.0000 Sr
```

=====

Verdict on stability: <three> comes out at the bottom.

=====

<one>
TaIN2: relaxed, PBE-GGA.

Values from the calculation:
Symmetry: No. 225
Crystal system: cubic
Total magnetic moment (μB per atom): 0.000

```
TaIN2
1.0
0.0000 2.9282 2.9282
2.9282 0.0000 2.9282
2.9282 2.9282 0.0000
N I Ta
2 1 1
Cartesian
1.4641 1.4641 1.4641 N
4.3923 4.3923 4.3923 N
0.0000 0.0000 0.0000 I
2.9282 2.9282 2.9282 Ta
```

=====

<two>
TaIN2: relaxed, PBE-GGA.

Values from the calculation:
Symmetry: No. 166
Crystal system: trigonal
Total magnetic moment (μB per atom): 0.000

```
TaIN2
1.0
-0.2943 5.1244 4.9767
-1.6962 2.5942 6.4426
1.5364 2.8434 6.3772
N I Ta
2 1 1
Cartesian
-0.4015 9.3394 15.7364 N
-0.0526 1.2227 2.0601 N
0.0000 0.0000 0.0000 I
-0.2270 5.2810 8.8982 Ta
```

=====

Verdict on stability: <one> comes out at the bottom.

=====

<one>
TaI2N2: relaxed, PBE-GGA.

Values from the calculation:
Symmetry: No. 123
Crystal system: tetragonal
Total magnetic moment (μB per atom): 0.174

```
TaI2N2
1.0
-0.7033 -0.3814 4.1110
-3.3901 -2.3269 -0.7959
3.4307 -5.0391 0.1194
I N Ta
2 2 1
Cartesian
-0.3314 -3.8737 1.7173 I
1.7153 -2.5196 0.0597 I
-0.3517 -0.1907 2.0555 N
-1.6951 -1.1634 -0.3979 N
0.0000 0.0000 0.0000 Ta
```

=====

<two>
TaI2N2: relaxed, PBE-GGA.

Values from the calculation:
Symmetry: No. 123
Crystal system: tetragonal
Total magnetic moment (μB per atom): 0.596

```
TaI2N2
1.0
5.7005 0.0000 0.0000
0.0000 5.7005 0.0000
0.0000 0.0000 3.9193
I N Ta
2 2 1
Cartesian
2.8503 0.0000 0.0000 I
0.0000 2.8503 0.0000 I
2.8503 2.8503 1.9596 N
0.0000 0.0000 1.9596 N
0.0000 0.0000 0.0000 Ta
```

=====

Verdict on stability: <two> comes out at the bottom.

=====

<one>
TaI2N: relaxed, PBE-GGA.

Values from the calculation:
Symmetry: No. 122
Crystal system: tetragonal
Total magnetic moment (μB per atom): 0.000

```
TaI2N
1.0
6.4568 0.0000 0.0000
0.0000 6.4568 0.0000
3.2284 3.2284 4.8310
I Ta N
4 2 2
Cartesian
4.8426 4.9984 3.6232 I
1.7700 4.8426 1.2077 I
8.0710 7.9152 3.6232 I
4.6868 1.6142 1.2077 I
0.0000 0.0000 0.0000 Ta
6.4568 3.2284 2.4155 Ta
3.2284 6.4568 2.4155 N
3.2284 3.2284 0.0000 N
```

=====

<two>
TaI2N: relaxed, PBE-GGA.

Values from the calculation:
Symmetry: No. 225
Crystal system: cubic
Total magnetic moment (μB per atom): 0.000

```
TaI2N
1.0
0.0000 3.3893 3.3893
3.3893 0.0000 3.3893
3.3893 3.3893 0.0000
I Ta N
2 1 1
Cartesian
5.0839 5.0839 5.0839 I
1.6946 1.6946 1.6946 I
3.3893 3.3893 3.3893 Ta
0.0000 0.0000 0.0000 N
```

=====

Verdict on stability: <one> comes out at the bottom.

=====

<one>
TaTcIN2: relaxed, PBE-GGA.

Values from the calculation:
Symmetry: No. 123
Crystal system: tetragonal
Total magnetic moment (μB per atom): 0.769

```
TaTcIN2
1.0
-1.7345 2.5450 -2.6123
-2.4843 -2.9423 -1.2168
-3.8557 1.5659 4.0856
Tc Ta N I
1 1 2 1
Cartesian
-4.0373 0.5843 0.1282 Tc
0.0000 0.0000 0.0000 Ta
-1.2422 -1.4711 -0.6084 N
-0.8673 1.2725 -1.3062 N
-1.9278 0.7829 2.0428 I
```

=====

<two>
TaTcIN2: relaxed, PBE-GGA.

Values from the calculation:
Symmetry: No. 123
Crystal system: tetragonal
Total magnetic moment (μB per atom): 0.458

```
TaTcIN2
1.0
-3.7669 1.1212 -0.4102
-1.0638 -3.7683 -0.5318
-0.7578 -0.5543 5.4437
Tc Ta N I
1 1 2 1
Cartesian
0.0000 0.0000 0.0000 Tc
-2.7942 -1.6007 2.2508 Ta
-1.8834 0.5606 -0.2051 N
-0.5319 -1.8842 -0.2659 N
-0.3789 -0.2771 2.7218 I
```

=====

Verdict on stability: <two> comes out at the bottom.

=====

<one>
TaTe2IN: relaxed, PBE-GGA.

Values from the calculation:
Symmetry: No. 123
Crystal system: tetragonal
Total magnetic moment (μB per atom): 0.000

```
TaTe2IN
1.0
5.6462 0.0000 0.0000
0.0000 5.6462 0.0000
0.0000 0.0000 3.9579
I Ta N Te
1 1 1 2
Cartesian
2.8231 2.8231 1.9790 I
0.0000 0.0000 0.0000 Ta
0.0000 0.0000 1.9790 N
2.8231 0.0000 0.0000 Te
0.0000 2.8231 0.0000 Te
```

=====

<two>
TaTe2IN: relaxed, PBE-GGA.

Values from the calculation:
Symmetry: No. 123
Crystal system: tetragonal
Total magnetic moment (μB per atom): 0.480

```
TaTe2IN
1.0
5.7903 0.0000 0.0000
0.0000 5.7903 0.0000
0.0000 0.0000 3.8854
Te N I Ta
2 1 1 1
Cartesian
2.8952 0.0000 0.0000 Te
0.0000 2.8952 0.0000 Te
0.0000 0.0000 1.9427 N
0.0000 0.0000 0.0000 I
2.8952 2.8952 1.9427 Ta
```

=====

<three>
TaTe2IN: relaxed, PBE-GGA.

Values from the calculation:
Symmetry: No. 123
Crystal system: tetragonal
Total magnetic moment (μB per atom): 0.592

```
TaTe2IN
1.0
-4.3739 -0.9297 -2.9980
-1.3526 -4.0819 3.2391
-3.0308 3.6219 3.2986
Te N Ta I
2 1 1 1
Cartesian
-2.1869 -0.4648 -1.4990 Te
-0.6763 -2.0410 1.6196 Te
-4.3787 -0.6949 1.7699 N
0.0000 0.0000 0.0000 Ta
-1.5154 1.8109 1.6493 I
```

=====

Verdict on stability: <two> comes out at the bottom.